Na3Ac2Hg4 | PBE-GGA | optimized geometry

Structure (POSCAR):
```
Na3Ac2Hg4
1.0
6.5919 0.0000 0.0000
0.0000 9.0962 0.0000
-3.2959 0.0000 8.8896
Na Ac Hg
6 4 8
direct
0.0000 0.0000 0.0000 Na
0.5000 0.5000 0.0000 Na
0.5373 0.7500 0.5747 Na
0.9627 0.2500 0.4253 Na
0.4627 0.2500 0.4253 Na
0.0373 0.7500 0.5747 Na
0.1116 0.5811 0.2231 Ac
0.8884 0.4189 0.7769 Ac
0.3884 0.0811 0.7769 Ac
0.6116 0.9189 0.2231 Ac
0.7071 0.7500 0.9141 Hg
0.7929 0.2500 0.0859 Hg
0.2929 0.2500 0.0859 Hg
0.2071 0.7500 0.9141 Hg
0.1785 0.9499 0.3569 Hg
0.8215 0.0501 0.6431 Hg
0.3215 0.4499 0.6431 Hg
0.6785 0.5501 0.3569 Hg
```

Calculated values
The energy of formation from the pure elements is -0.254 eV per atom. For the uncorrected energy, the calculation gives -1.74 eV per atom. The calculation puts the offset from the most stable computed form at 4.8 kJ/mol of atoms. Its space group is Cmce, No. 64.

LiTl2Os | PBE-GGA | optimized geometry

Structure (POSCAR):
```
LiTl2Os
1.0
-2.7670 2.5641 2.8677
-1.5742 4.2448 -1.3992
-4.5828 0.6012 -1.0443
Tl Os Li
2 1 1
direct
0.2500 0.2500 0.2500 Tl
0.7500 0.7500 0.7500 Tl
0.5000 0.5000 0.5000 Os
0.0000 0.0000 0.0000 Li
```

Calculated values
The energy of formation from the pure elements is 0.444 eV per atom. For the uncorrected energy, the calculation gives -4.03 eV per atom. The calculation puts the offset from the most stable computed form at 0.0 kJ/mol of atoms. Its space group is Fm-3m, No. 225.

La5Tl6Hg | PBE-GGA | optimized geometry

Structure (POSCAR):
```
La5Tl6Hg
1.0
5.1884 0.0042 -1.5964
-0.8947 7.5770 -2.8873
0.1683 -0.6467 9.7748
Tl Hg La
6 1 5
direct
0.1687 0.4293 0.3374 Tl
0.1687 0.9081 0.3374 Tl
0.5000 0.2816 0.0000 Tl
0.5000 0.7184 0.0000 Tl
0.8313 0.0919 0.6626 Tl
0.8313 0.5707 0.6626 Tl
0.0000 0.0000 0.0000 Hg
0.3659 0.8659 0.7318 La
0.6807 0.6807 0.3614 La
0.0000 0.5000 0.0000 La
0.3193 0.3193 0.6386 La
0.6341 0.1341 0.2682 La
```

Calculated values
The energy of formation from the pure elements is -0.374 eV per atom. For the uncorrected energy, the calculation gives -3.64 eV per atom. Its space group is Immm, No. 71.

Er3Ni7P4 | PBE-GGA | optimized geometry

Structure (POSCAR):
```
Er3Ni7P4
1.0
3.6641 0.0000 0.9244
1.3490 6.9534 2.3771
0.0198 -0.0027 7.6456
Er Ni P
3 7 4
direct
0.3211 0.1827 0.1750 Er
0.6789 0.8173 0.8250 Er
0.0000 0.5000 0.5000 Er
0.3089 0.8568 0.5253 Ni
0.4923 0.2328 0.7826 Ni
0.8370 0.4073 0.9187 Ni
0.6911 0.1432 0.4747 Ni
0.1630 0.5927 0.0813 Ni
0.0000 0.0000 0.0000 Ni
0.5077 0.7672 0.2174 Ni
0.6617 0.4472 0.2295 P
0.3383 0.5528 0.7705 P
0.8906 0.8942 0.3247 P
0.1094 0.1058 0.6753 P
```

Calculated values
The energy of formation from the pure elements is -0.916 eV per atom. For the uncorrected energy, the calculation gives -6.33 eV per atom. Its space group is C2/m, No. 12.

SbTeMo2 | PBE-GGA | optimized geometry

Structure (POSCAR):
```
SbTeMo2
1.0
-0.0338 -2.9776 -3.6443
1.2575 -3.5176 2.8624
-3.2002 -0.6726 0.5793
Mo Sb Te
2 1 1
direct
0.0000 0.0000 0.0000 Mo
0.5000 0.5000 0.0000 Mo
0.5000 0.0000 0.5000 Sb
0.0000 0.5000 0.5000 Te
```

Calculated values
The value obtained for the raw formation energy is 0.29 eV/atom. For the uncorrected energy, the calculation gives -6.94 eV per atom. The calculation puts the offset from the most stable computed form at 16.6 kJ/mol of atoms. Its space group is P4/mmm, No. 123.

ZrGaHRh2 | PBE-GGA | optimized geometry

Structure (POSCAR):
```
ZrGaHRh2
1.0
-0.6715 -3.9299 0.8405
2.3561 0.3054 3.3101
-3.2247 1.0218 2.2011
H Rh Ga Zr
1 2 1 1
direct
0.0000 0.0000 0.0000 H
0.0000 0.5000 0.0000 Rh
0.5000 0.0000 0.0000 Rh
0.5000 0.5000 0.5000 Ga
0.0000 0.0000 0.5000 Zr
```

Calculated values
For the uncorrected energy, the calculation gives -6.44 eV per atom. Its space group is P4/mmm, No. 123.